Zn3CuPd2 | Alexandria | GGA-PBE | relaxed; electronic total energy = -0.12641 hartree per atom; ΔE to the lowest computed polymorph = 0.0 kJ per mole of atoms
1.0
2.9842 0.0000 0.0000
0.0000 2.9842 0.0000
0.0000 0.0000 9.4556
Zn Cu Pd
3 1 2
direct
0.0000 0.0000 0.0000
0.0000 0.0000 0.3446
0.0000 0.0000 0.6554
0.5000 0.5000 0.5000
0.5000 0.5000 0.1716
0.5000 0.5000 0.8284

Zn16Cu6Pd7 | Alexandria | GGA-PBE | relaxed; electronic total energy = -0.10870 hartree per atom
1.0
0.0000 6.0967 6.0967
6.0967 0.0000 6.0967
6.0967 6.0967 0.0000
Zn Cu Pd
16 6 7
direct
0.0507 0.6498 0.6498
0.1217 0.1217 0.1217
0.1217 0.1217 0.6349
0.1217 0.6349 0.1217
0.3502 0.3502 0.3502
0.3502 0.3502 0.9493
0.3502 0.9493 0.3502
0.3651 0.8783 0.8783
0.6349 0.1217 0.1217
0.6498 0.0507 0.6498
0.6498 0.6498 0.0507
0.6498 0.6498 0.6498
0.8783 0.3651 0.8783
0.8783 0.8783 0.3651
0.8783 0.8783 0.8783
0.9493 0.3502 0.3502
0.3455 0.3455 0.6545
0.3455 0.6545 0.3455
0.3455 0.6545 0.6545
0.6545 0.3455 0.3455
0.6545 0.3455 0.6545
0.6545 0.6545 0.3455
0.0000 0.0000 0.0000
0.0000 0.0000 0.5000
0.0000 0.5000 0.0000
0.0000 0.5000 0.5000
0.5000 0.0000 0.0000
0.5000 0.0000 0.5000
0.5000 0.5000 0.0000

Zn2Cu2Pd5 | Alexandria | GGA-PBE | relaxed; electronic total energy = -0.16010 hartree per atom; ΔE to the lowest computed polymorph = 0.0 kJ per mole of atoms
1.0
4.2574 -1.9535 0.0000
4.2574 1.9535 0.0000
-2.4307 0.0000 7.8043
Zn Cu Pd
2 2 5
direct
0.0000 0.0000 0.0000
0.0092 0.0092 0.6544
0.3310 0.3310 0.7749
0.6824 0.6824 0.2237
0.0164 0.0164 0.3234
0.3401 0.3401 0.1001
0.3507 0.3507 0.4475
0.6515 0.6515 0.8848
0.6859 0.6859 0.5619